No. 1
Here is MgNi12B4 after structural relaxation from Alexandria. Energies are from PBE.

Unit cell a=6.180 b=6.180 c=6.180 alpha=109.47 beta=109.47 gamma=109.47
Fractional coordinates of all 17 atoms:
Mg 0.000 0.000 0.000
Ni 0.153 0.825 0.328
Ni 0.175 0.328 0.503
Ni 0.175 0.672 0.847
Ni 0.328 0.153 0.825
Ni 0.328 0.503 0.175
Ni 0.497 0.825 0.672
Ni 0.503 0.175 0.328
Ni 0.672 0.497 0.825
Ni 0.672 0.847 0.175
Ni 0.825 0.328 0.153
Ni 0.825 0.672 0.497
Ni 0.847 0.175 0.672
B 0.000 0.000 0.500
B 0.000 0.500 0.000
B 0.500 0.000 0.000
B 0.500 0.500 0.500

energy of formation from the pure elements	-0.080	eV/atom
space group	Im-3
mass density	7.1	g cm⁻³

---

No. 2
Here is CaCu4Si3 after structural relaxation from Alexandria. Energies are from PBE.

Unit cell a=4.058 b=4.058 c=7.535 alpha=90.00 beta=90.00 gamma=90.00
Fractional coordinates of all 8 atoms:
Ca 0.000 0.000 0.000
Cu 0.000 0.500 0.325
Cu 0.000 0.500 0.675
Cu 0.500 0.000 0.325
Cu 0.500 0.000 0.675
Si 0.000 0.000 0.500
Si 0.500 0.500 0.156
Si 0.500 0.500 0.844

total DFT energy (no corrections)	-36.628	eV per cell
space group	P4/mmm
mass density	5.1	g cm⁻³

---

No. 3
Here is Sc2Tc after structural relaxation from Alexandria. Energies are from PBE.

Unit cell a=4.577 b=4.577 c=3.131 alpha=90.00 beta=90.00 gamma=120.00
Fractional coordinates of all 3 atoms:
Sc 0.333 0.667 0.233
Sc 0.667 0.333 0.767
Tc 0.000 0.000 0.500

energy of formation from the pure elements	-0.091	eV/atom
space group	P-3m1
energy above the most stable polymorph in this dataset	122	meV/atom
mass density	5.5	g cm⁻³

---

No. 4
Here is Tm4MgCu2 after structural relaxation from Alexandria. Energies are from PBE.

Unit cell a=9.065 b=9.065 c=9.065 alpha=31.14 beta=31.14 gamma=31.14
Fractional coordinates of all 7 atoms:
Tm 0.113 0.113 0.113
Tm 0.295 0.295 0.295
Tm 0.705 0.705 0.705
Tm 0.887 0.887 0.887
Mg 0.500 0.500 0.500
Cu 0.402 0.402 0.402
Cu 0.598 0.598 0.598

energy of formation from the pure elements	0.045	eV/atom
space group	R-3m
mass density	7.8	g cm⁻³

---

No. 5
Here is CsRbGaNi2 after structural relaxation from Alexandria. Energies are from PBE.

Unit cell a=5.897 b=5.897 c=6.127 alpha=90.00 beta=90.00 gamma=90.00
Fractional coordinates of all 5 atoms:
Cs 0.000 0.000 0.000
Rb 0.500 0.500 0.500
Ga 0.500 0.500 0.000
Ni 0.000 0.500 0.500
Ni 0.500 0.000 0.500

energy of formation from the pure elements	1.443	eV/atom
space group	P4/mmm
mass density	3.2	g cm⁻³

---

No. 6
Here is Se5I2Br2 after structural relaxation from Alexandria. Energies are from PBE.

Unit cell a=7.659 b=10.839 c=11.519 alpha=105.15 beta=107.68 gamma=105.54
Fractional coordinates of all 18 atoms:
Se 0.000 0.000 0.000
Se 0.001 0.126 0.205
Se 0.047 0.310 0.863
Se 0.120 0.923 0.431
Se 0.188 0.259 0.670
Se 0.250 0.105 0.367
Se 0.324 0.095 0.025
Se 0.372 0.328 0.017
Se 0.498 0.307 0.843
Se 0.982 0.021 0.575
I 0.478 0.756 0.880
I 0.480 0.751 0.380
I 0.534 0.708 0.631
I 0.543 0.717 0.134
Br 0.700 0.276 0.660
Br 0.792 0.411 0.497
Br 0.868 0.515 0.347
Br 0.942 0.381 0.049

total DFT energy (no corrections)	-47.540	eV per cell
space group	P1
mass density	3.3	g cm⁻³

---

No. 7
Here is Cs3Li2LaI9 after structural relaxation from Alexandria. Energies are from PBE.

Unit cell a=8.546 b=8.546 c=10.666 alpha=90.00 beta=90.00 gamma=120.00
Fractional coordinates of all 15 atoms:
Cs 0.000 0.000 0.000
Cs 0.333 0.667 0.680
Cs 0.667 0.333 0.320
Li 0.333 0.667 0.141
Li 0.667 0.333 0.859
La 0.000 0.000 0.500
I 0.000 0.500 0.000
I 0.172 0.344 0.327
I 0.172 0.828 0.327
I 0.344 0.172 0.673
I 0.500 0.000 0.000
I 0.500 0.500 0.000
I 0.656 0.828 0.327
I 0.828 0.172 0.673
I 0.828 0.656 0.673

total DFT energy (no corrections)	-44.869	eV per cell
space group	P-3m1
mass density	4.2	g cm⁻³

---

No. 8
Here is NdYHo4 after structural relaxation from Alexandria. Energies are from PBE.

Unit cell a=5.016 b=6.169 c=7.122 alpha=106.77 beta=90.00 gamma=113.91
Fractional coordinates of all 6 atoms:
Nd 0.000 0.000 0.000
Y 0.000 0.000 0.500
Ho 0.332 0.664 0.665
Ho 0.333 0.666 0.167
Ho 0.667 0.334 0.833
Ho 0.668 0.336 0.335

energy of formation from the pure elements	0.022	eV/atom
space group	P-1
energy above the most stable polymorph in this dataset	12	meV/atom
mass density	7.8	g cm⁻³